# 1
This record from Alexandria via LeMat-Bulk describes a relaxed structure of NdCu4Rh2. The functional is PBE-GGA.

Cell lengths 5.7868, 5.7868, 5.7868 Å; angles 101.83, 101.83, 126.14 degrees
Last column: nearest neighbours and their distance in Å.
Positions (direct):
1 Rh 0.2500 0.7500 0.5000  4 Cu 2.42, 2 Rh 2.62
2 Rh 0.7500 0.2500 0.5000  4 Cu 2.42, 2 Rh 2.62
3 Cu 0.5000 0.2784 0.7784  2 Cu 2.29, 2 Rh 2.42
4 Cu 0.7216 0.5000 0.2216  2 Cu 2.29, 2 Rh 2.42
5 Cu 0.2784 0.5000 0.7784  2 Cu 2.29, 2 Rh 2.42
6 Cu 0.5000 0.7216 0.2216  2 Cu 2.29, 2 Rh 2.42
7 Nd 0.0000 0.0000 0.0000  8 Cu 3.08

## Properties
As for the volume: 19.93 Å³ per atom. As for the formation energy: 0.374 eV per atom. The value obtained for the total moment is 0.00 μB per cell. The symmetry is I4/mmm (139). The energy relative to the lowest polymorph listed for this composition is 575 meV per atom.



# 2
This record from Alexandria via LeMat-Bulk describes a relaxed structure of Y2MnBr. The functional is PBE-GGA.

Cell lengths 6.4404, 6.4404, 6.4404 Å; angles 142.07, 142.07, 54.72 degrees
Last column: nearest neighbours and their distance in Å.
Positions (direct):
1 Mn 0.7500 0.2500 0.5000  4 Y 2.96
2 Y 0.2500 0.7500 0.5000  4 Mn 2.96
3 Y 0.0000 0.0000 0.0000  4 Br 2.96
4 Br 0.5000 0.5000 0.0000  4 Y 2.96

## Properties
As for the volume: 25.06 Å³ per atom. The value obtained for the total moment is 2.78 μB per cell. The symmetry is I-4m2 (119). The energy relative to the lowest polymorph listed for this composition is 417 meV per atom.



# 3
This record from Alexandria via LeMat-Bulk describes a relaxed structure of NdZrRu. The functional is PBE-GGA.

Cell lengths 4.5852, 7.1013, 12.9343 Å; angles 91.78, 90.00, 90.00 degrees
Last column: nearest neighbours and their distance in Å.
Positions (direct):
1 Zr 0.7500 0.0431 0.9160  4 Ru 2.68-2.83
2 Zr 0.2500 0.9569 0.0840  4 Ru 2.68-2.83
3 Zr 0.7500 0.6643 0.7860  3 Ru 2.59-2.84
4 Zr 0.2500 0.8560 0.4555  3 Ru 2.62-2.74
5 Zr 0.7500 0.1440 0.5445  3 Ru 2.62-2.74
6 Zr 0.2500 0.3357 0.2140  3 Ru 2.59-2.84
7 Ru 0.2500 0.6998 0.2377  2 Zr 2.59-2.74
8 Ru 0.2500 0.2226 0.4376  3 Zr 2.62-2.74
9 Ru 0.7500 0.7774 0.5624  3 Zr 2.62-2.74
10 Ru 0.7500 0.3002 0.7623  2 Zr 2.59-2.74
11 Ru 0.2500 0.8119 0.8900  5 Zr 2.68-2.84, 1 Nd 2.78
12 Ru 0.7500 0.1881 0.1100  5 Zr 2.68-2.84, 1 Nd 2.78
13 Nd 0.2500 0.4925 0.6223  5 Ru 3.02-3.25, 2 Zr 3.33
14 Nd 0.7500 0.6131 0.0844  3 Ru 3.05-3.08, 2 Zr 3.35
15 Nd 0.2500 0.3869 0.9156  3 Ru 3.05-3.08, 2 Zr 3.35
16 Nd 0.7500 0.5075 0.3777  5 Ru 3.02-3.25, 2 Zr 3.33
17 Nd 0.7500 0.9843 0.2902  1 Ru 2.78
18 Nd 0.2500 0.0157 0.7098  1 Ru 2.78

## Properties
As for the volume: 23.39 Å³ per atom. As for the formation energy: -0.279 eV per atom. The value obtained for the total moment is 0.00 μB per cell. The symmetry is P2_1/m (11).



# 4
This record from Alexandria via LeMat-Bulk describes a relaxed structure of Pr2DyHfP4. The functional is PBE-GGA.

Cell lengths 4.0053, 6.9453, 6.9749 Å; angles 109.18, 90.00, 90.00 degrees
Last column: nearest neighbours and their distance in Å.
Positions (direct):
1 P 0.0000 0.7540 0.2297  1 Hf 2.70, 2 Dy 2.80, 3 Pr 2.89-2.98
2 P 0.5000 0.7684 0.7762  2 Hf 2.72, 1 Dy 2.80, 3 Pr 2.89-2.97
3 P 0.0000 0.2460 0.7703  1 Hf 2.70, 2 Dy 2.80, 3 Pr 2.89-2.98
4 P 0.5000 0.2316 0.2238  2 Hf 2.72, 1 Dy 2.80, 3 Pr 2.89-2.97
5 Pr 0.5000 0.0000 0.5000  6 P 2.89
6 Pr 0.0000 0.5000 0.5000  6 P 2.97-2.98
7 Dy 0.5000 0.5000 0.0000  6 P 2.80
8 Hf 0.0000 0.0000 0.0000  6 P 2.70-2.72

## Properties
As for the volume: 22.91 Å³ per atom. As for the formation energy: -1.471 eV per atom. The value obtained for the total moment is 0.00 μB per cell. The symmetry is P2/m (10).



# 5
This record from Alexandria via LeMat-Bulk describes a relaxed structure of YHo2PuSe4. The functional is PBE-GGA.

Cell lengths 4.0662, 7.0807, 7.0836 Å; angles 109.15, 90.00, 90.00 degrees
Last column: nearest neighbours and their distance in Å.
Positions (direct):
1 Ho 0.0000 0.5000 0.5000  6 Se 2.87-2.88
2 Ho 0.5000 0.0000 0.5000  6 Se 2.86
3 Pu 0.5000 0.5000 0.0000  6 Se 2.91-2.92
4 Se 0.5000 0.7504 0.7457  3 Ho 2.86-2.88, 2 Y 2.90, 1 Pu 2.91
5 Se 0.5000 0.2496 0.2543  3 Ho 2.86-2.88, 2 Y 2.90, 1 Pu 2.91
6 Se 0.0000 0.2463 0.7445  3 Ho 2.86-2.87, 1 Y 2.90, 2 Pu 2.92
7 Se 0.0000 0.7537 0.2555  3 Ho 2.86-2.87, 1 Y 2.90, 2 Pu 2.92
8 Y 0.0000 0.0000 0.0000  6 Se 2.90

## Properties
As for the volume: 24.08 Å³ per atom. The value obtained for the total moment is 5.95 μB per cell. The value obtained for the energy is -7.196 eV per atom. The symmetry is P2/m (10).



# 6
This record from Alexandria via LeMat-Bulk describes a relaxed structure of CaNdTm2Hg4. The functional is PBE-GGA.

Cell lengths 5.2773, 5.2773, 9.1883 Å; angles 73.31, 73.31, 60.00 degrees
Last column: nearest neighbours and their distance in Å.
Positions (direct):
1 Tm 0.2479 0.2479 0.2563  8 Hg 3.19-3.34
2 Tm 0.7521 0.7521 0.7437  8 Hg 3.19-3.34
3 Hg 0.3763 0.3763 0.8712  1 Ca 3.22, 4 Tm 3.24-3.34, 3 Nd 3.25
4 Hg 0.8746 0.8746 0.3762  4 Tm 3.19-3.22, 3 Ca 3.23, 1 Nd 3.26
5 Hg 0.1254 0.1254 0.6238  4 Tm 3.19-3.22, 3 Ca 3.23, 1 Nd 3.26
6 Hg 0.6237 0.6237 0.1288  1 Ca 3.22, 4 Tm 3.24-3.34, 3 Nd 3.25
7 Ca 0.5000 0.5000 0.5000  8 Hg 3.22-3.23
8 Nd 0.0000 0.0000 0.0000  8 Hg 3.25-3.26

## Properties
As for the volume: 26.13 Å³ per atom. As for the formation energy: -0.487 eV per atom. The value obtained for the total moment is 0.00 μB per cell. The symmetry is R-3m (166).



# 7
This record from Alexandria via LeMat-Bulk describes a relaxed structure of BaLaZr. The functional is PBE-GGA.

Cell lengths 5.6422, 5.6422, 5.6422 Å; angles 60.00, 60.00, 60.00 degrees
Last column: nearest neighbours and their distance in Å.
Positions (direct):
1 Zr 0.7500 0.7500 0.7500  4 La 3.46, 4 Ba 3.46
2 La 0.5000 0.5000 0.5000  4 Zr 3.46
3 Ba 0.0000 0.0000 0.0000  4 Zr 3.46

## Properties
As for the volume: 42.34 Å³ per atom. As for the formation energy: 0.952 eV per atom. The value obtained for the total moment is 3.39 μB per cell. The symmetry is F-43m (216). The energy relative to the lowest polymorph listed for this composition is 621 meV per atom.



# 8
This record from Alexandria via LeMat-Bulk describes a relaxed structure of HgHSe2S. The functional is PBE-GGA.

Cell lengths 3.8376, 8.2752, 3.8376 Å; angles 90.00, 90.00, 90.00 degrees
Last column: nearest neighbours and their distance in Å.
Positions (direct):
1 S 0.5000 0.5000 0.5000  4 Hg 2.71
2 Se 0.0000 0.0000 0.5000  2 H 1.92
3 Se 0.5000 0.0000 0.0000  2 H 1.92
4 Hg 0.0000 0.5000 0.0000  4 S 2.71
5 H 0.0000 0.0000 0.0000  4 Se 1.92

## Properties
As for the volume: 24.37 Å³ per atom. The value obtained for the total moment is 0.00 μB per cell. The value obtained for the energy is -2.512 eV per atom. The symmetry is P4/mmm (123).



Which of these has the lowest volume? NdCu4Rh2